Record 1
## Rb4PmI6 (PBE-GGA)

Data for an optimized crystal structure of Rb4PmI6.

a = 10.068 Å, b = 10.068 Å, c = 10.524 Å
α = 90.00°, β = 90.00°, γ = 90.00°
Last column: magnetic moment on the atom in μB.
Fractional coordinates of all 22 atoms:
Rb (0.329, 0.171, 0.250)  0.00
Rb (0.171, 0.671, 0.750)  0.00
Rb (0.671, 0.829, 0.750)  0.00
Rb (0.829, 0.329, 0.750)  0.00
Rb (0.329, 0.171, 0.750)  0.00
Rb (0.171, 0.671, 0.250)  0.00
Rb (0.829, 0.329, 0.250)  0.00
Rb (0.671, 0.829, 0.250)  0.00
Pm (0.500, 0.500, 0.000)  0.48
Pm (0.000, 0.000, 0.500)  0.48
I (0.305, 0.901, 0.500)  0.00
I (0.805, 0.599, 0.000)  0.00
I (0.599, 0.195, 0.000)  0.00
I (0.099, 0.305, 0.500)  0.00
I (0.000, 0.000, 0.201)  0.00
I (0.500, 0.500, 0.299)  0.00
I (0.401, 0.805, 0.000)  0.00
I (0.000, 0.000, 0.799)  0.00
I (0.195, 0.401, 0.000)  0.00
I (0.500, 0.500, 0.701)  0.00
I (0.901, 0.695, 0.500)  0.00
I (0.695, 0.099, 0.500)  0.00

Output
V: 48.5 Å³/atom
VASP energy: -3.00 eV per atom
uncorrected formation energy: -1367 meV/atom



Record 2
## Rb2PmI6 (PBE-GGA)

Data for an optimized crystal structure of Rb2PmI6.

a = 4.900 Å, b = 9.500 Å, c = 9.531 Å
α = 119.89°, β = 90.00°, γ = 90.00°
Last column: magnetic moment on the atom in μB.
Fractional coordinates of all 9 atoms:
Rb (0.000, 0.332, 0.666)  0.00
Rb (0.000, 0.666, 0.334)  0.00
Pm (0.500, 0.001, 0.000)  -0.01
I (0.500, 0.644, 0.000)  0.07
I (0.500, 0.356, 0.357)  0.07
I (0.500, 0.999, 0.643)  0.07
I (0.000, 0.235, 0.000)  0.06
I (0.000, 0.767, 0.767)  0.07
I (0.000, 0.000, 0.233)  0.07

Output
V: 42.7 Å³/atom
VASP energy: -2.97 eV per atom
uncorrected formation energy: -1190 meV/atom
excess energy over the best structure of this formula in the dataset: 0.000 eV per atom



Record 3
## RbPmScI6 (PBE-GGA)

Data for an optimized crystal structure of RbPmScI6.

a = 7.748 Å, b = 7.748 Å, c = 16.984 Å
α = 90.00°, β = 90.00°, γ = 120.00°
Last column: magnetic moment on the atom in μB.
Fractional coordinates of all 18 atoms:
Rb (0.000, 0.000, 0.000)  0.00
Rb (0.000, 0.000, 0.500)  0.00
Pm (0.667, 0.333, 0.250)  0.14
Pm (0.333, 0.667, 0.750)  0.14
Sc (0.333, 0.667, 0.250)  0.56
Sc (0.667, 0.333, 0.750)  0.56
I (0.631, 0.646, 0.145)  0.00
I (0.015, 0.369, 0.145)  0.00
I (0.369, 0.015, 0.645)  0.00
I (0.985, 0.631, 0.855)  0.00
I (0.354, 0.369, 0.355)  0.00
I (0.015, 0.646, 0.355)  0.00
I (0.646, 0.015, 0.855)  0.00
I (0.631, 0.985, 0.355)  0.00
I (0.985, 0.354, 0.645)  0.00
I (0.354, 0.985, 0.145)  0.00
I (0.646, 0.631, 0.645)  0.00
I (0.369, 0.354, 0.855)  0.00

Output
V: 49.1 Å³/atom
VASP energy: -3.68 eV per atom
uncorrected formation energy: -1303 meV/atom



Record 4
## RbPmSn2I8 (PBE-GGA)

Data for an optimized crystal structure of RbPmSn2I8.

a = 7.866 Å, b = 7.392 Å, c = 9.769 Å
α = 89.88°, β = 89.88°, γ = 88.87°
Fractional coordinates of all 12 atoms:
Rb (0.000, 0.000, 0.500)
Pm (0.000, 0.000, 0.000)
Sn (0.500, 0.500, 0.749)
Sn (0.500, 0.500, 0.251)
I (0.158, 0.743, 0.220)
I (0.671, 0.760, 0.000)
I (0.841, 0.256, 0.220)
I (0.842, 0.257, 0.780)
I (0.329, 0.240, 0.000)
I (0.159, 0.744, 0.780)
I (0.623, 0.730, 0.499)
I (0.377, 0.270, 0.501)

Output
V: 47.3 Å³/atom
VASP energy: -3.10 eV per atom
uncorrected formation energy: -926 meV/atom



Record 5
## RbSrPmI6 (PBE-GGA)

Data for an optimized crystal structure of RbSrPmI6.

a = 8.345 Å, b = 8.345 Å, c = 15.823 Å
α = 90.00°, β = 90.00°, γ = 120.00°
Fractional coordinates of all 18 atoms:
Rb (0.000, 0.000, 0.000)
Rb (0.000, 0.000, 0.500)
Sr (0.333, 0.667, 0.250)
Sr (0.667, 0.333, 0.750)
Pm (0.667, 0.333, 0.250)
Pm (0.333, 0.667, 0.750)
I (0.637, 0.621, 0.134)
I (0.984, 0.363, 0.134)
I (0.363, 0.984, 0.634)
I (0.016, 0.637, 0.866)
I (0.379, 0.363, 0.366)
I (0.984, 0.621, 0.366)
I (0.621, 0.984, 0.866)
I (0.637, 0.016, 0.366)
I (0.016, 0.379, 0.634)
I (0.379, 0.016, 0.134)
I (0.621, 0.637, 0.634)
I (0.363, 0.379, 0.866)

Output
V: 53.0 Å³/atom
VASP energy: -3.40 eV per atom
uncorrected formation energy: -1540 meV/atom



Record 6
## Rb2SrPmI6 (PBE-GGA)

Data for an optimized crystal structure of Rb2SrPmI6.

a = 8.848 Å, b = 9.179 Å, c = 12.742 Å
α = 90.00°, β = 90.00°, γ = 90.00°
Last column: magnetic moment on the atom in μB.
Fractional coordinates of all 20 atoms:
Rb (0.500, 0.802, 0.199)  0.00
Rb (0.000, 0.198, 0.699)  0.00
Rb (0.500, 0.802, 0.801)  0.00
Rb (0.000, 0.198, 0.301)  0.00
Sr (0.000, 0.725, 0.500)  0.03
Sr (0.500, 0.275, 0.000)  0.03
Pm (0.500, 0.229, 0.500)  0.46
Pm (0.000, 0.771, 0.000)  0.46
I (0.500, 0.227, 0.253)  0.00
I (0.500, 0.227, 0.747)  0.00
I (0.000, 0.773, 0.247)  0.00
I (0.000, 0.773, 0.753)  0.00
I (0.253, 0.982, 0.500)  0.00
I (0.747, 0.982, 0.500)  0.00
I (0.239, 0.458, 0.500)  0.00
I (0.761, 0.458, 0.500)  0.00
I (0.739, 0.542, 0.000)  0.00
I (0.261, 0.542, 0.000)  0.00
I (0.247, 0.018, 0.000)  0.00
I (0.753, 0.018, 0.000)  0.00

Output
V: 51.7 Å³/atom
VASP energy: -3.15 eV per atom
uncorrected formation energy: -1385 meV/atom



Question: Among the records above, which one has the lowest VASP energy?
Answer: RbPmScI6